Record 1
An optimized crystal structure of MgNb2Hg. Source: Alexandria via LeMat-Bulk, functional PBEsol.

a b c (Å): 6.662 6.662 6.662
angles (deg): 90.00 90.00 90.00
Space group Fm-3m (No. 225)
Symmetry-distinct sites (fractional):
Mg1 0.000 0.000 0.000
Nb1 0.250 0.250 0.250
Hg1 0.000 0.000 0.500

---

Record 2
An optimized crystal structure of MgNiHg2. Source: Alexandria via LeMat-Bulk, functional PBEsol.

a b c (Å): 3.885 3.161 11.891
angles (deg): 90.00 90.00 90.00
Space group Amm2 (No. 38)
Symmetry-distinct sites (fractional):
Mg1 0.000 0.000 0.000
Ni1 0.500 0.000 0.424
Hg1 0.000 0.000 0.284
Hg2 0.500 0.000 0.642

---

Record 3
An optimized crystal structure of MgNiHg4. Source: Alexandria via LeMat-Bulk, functional PBEsol.

a b c (Å): 7.923 7.923 7.923
angles (deg): 90.00 90.00 90.00
Space group F-43m (No. 216)
Symmetry-distinct sites (fractional):
Mg1 0.000 0.000 0.000
Ni1 0.250 0.250 0.250
Hg1 0.125 0.125 0.625

---

The energy relative to the elements results, record by record, are as follows: 0.4490 -0.0012 0.3522 eV/atom.
The density of states at the Fermi level results, record by record, are as follows: 24.1 3.7 7.1 states/eV per cell.